1.
The following is a PBE calculation of crystalline Ca2AcAuO5 at its relaxed geometry, from Alexandria via LeMat-Bulk.

Summary:
ρ = 7.39 g/cm³
Final energy = -5.99 eV/atom
Energy relative to the elements, uncorrected = -1.970 eV/atom

Cell: 6.5680 6.5680 7.6577 Å, 115.39 115.39 90.00°
Last column: magnetic moment on the atom in μB.
Sites, in units of the cell vectors:
Ca: 0.1668 0.3332 0.0000  0.01
Ca: 0.6668 0.1668 0.0000  0.01
Ca: 0.3332 0.8332 0.0000  0.01
Ca: 0.8332 0.6668 0.0000  0.01
Ac: 0.2500 0.2500 0.5000  -0.01
Ac: 0.7500 0.7500 0.5000  -0.01
Au: 0.2500 0.7500 0.5000  0.54
Au: 0.7500 0.2500 0.5000  0.54
O: 0.9685 0.4685 0.2586  0.23
O: 0.7099 0.2099 0.7414  0.23
O: 0.0315 0.5315 0.7414  0.23
O: 0.2099 0.0315 0.7414  0.23
O: 0.5315 0.7099 0.7414  0.23
O: 0.7901 0.9685 0.2586  0.23
O: 0.4685 0.2901 0.2586  0.23
O: 0.2901 0.7901 0.2586  0.23
O: 0.5000 0.5000 0.0000  0.28
O: 0.0000 0.0000 0.0000  0.28



2.
The following is a PBE calculation of crystalline VCu8Pd6 at its relaxed geometry, from Alexandria via LeMat-Bulk.

Summary:
ρ = 9.07 g/cm³
Final energy = -4.80 eV/atom

Cell: 6.9964 6.9964 6.5636 Å, 57.79 57.79 60.00°
Last column: magnetic moment on the atom in μB.
Sites, in units of the cell vectors:
V: 0.0000 0.0000 0.0000  1.44
Cu: 0.5673 0.1675 0.3852  0.01
Cu: 0.8325 0.1200 0.6148  0.01
Cu: 0.1200 0.4327 0.6148  0.01
Cu: 0.7568 0.7568 0.7295  0.02
Cu: 0.2432 0.2432 0.2705  0.02
Cu: 0.8800 0.5673 0.3852  0.01
Cu: 0.1675 0.8800 0.3852  0.01
Cu: 0.4327 0.8325 0.6148  0.01
Pd: 0.3648 0.1059 0.8689  0.02
Pd: 0.8941 0.3396 0.1311  0.02
Pd: 0.3396 0.6352 0.1311  0.02
Pd: 0.6604 0.3648 0.8689  0.02
Pd: 0.1059 0.6604 0.8689  0.02
Pd: 0.6352 0.8941 0.1311  0.02



3.
The following is a PBE calculation of crystalline Mg6FeSn at its relaxed geometry, from Alexandria via LeMat-Bulk.

Summary:
ρ = 3.24 g/cm³
Final energy = -2.67 eV/atom

Cell: 6.1916 6.1916 4.9136 Å, 90.00 90.00 119.40°
Last column: magnetic moment on the atom in μB.
Sites, in units of the cell vectors:
Mg: 0.1629 0.3258 0.0000  -0.01
Mg: 0.6742 0.8371 0.0000  -0.01
Mg: 0.6660 0.3340 0.0000  -0.01
Mg: 0.3267 0.1520 0.5000  -0.02
Mg: 0.8480 0.6733 0.5000  -0.02
Mg: 0.8315 0.1685 0.5000  0.00
Fe: 0.1635 0.8365 0.0000  2.51
Sn: 0.3272 0.6728 0.5000  -0.04